A relaxed CrNi2PtO6 crystal. Source: Alexandria, functional GGA+U.

The structure in POSCAR format:
```
CrNi2PtO6
1.0
5.6516 0.0000 0.0000
0.0000 5.6516 0.0000
0.0000 0.0000 3.9405
Cr Ni Pt O
1 2 1 6
Cartesian
0.0000 0.0000 0.0000
0.0000 2.8258 0.8596
2.8258 0.0000 0.8596
2.8258 2.8258 0.1415
0.0000 0.0000 2.1349
1.3978 1.3978 0.3957
1.3978 4.2538 0.3957
2.8258 2.8258 2.1383
4.2538 1.3978 0.3957
4.2538 4.2538 0.3957
```

Values from the calculation:
* symmetry: P4mm, No. 99
* Fermi-level density of states: 4.37 states/eV/cell
* E_tot: -0.399 Ry/atom